Record 1
# NdTm6Th

A relaxed structure of NdTm6Th (PBE, Alexandria).

Cell lengths 6.493, 6.524, 7.452 Å; angles 64.37, 64.81, 89.74 degrees
Space group P-1 (No. 2)
Inequivalent atoms, fractional coordinates:
1 Nd 0.000 0.000 0.000 (multiplicity 1)
2 Tm 0.083 0.268 0.464 (multiplicity 2)
3 Tm 0.447 0.765 0.472 (multiplicity 2)
4 Tm 0.498 0.747 0.001 (multiplicity 2)
5 Th 0.000 0.500 0.000 (multiplicity 1)

## Properties
The value obtained for the density of states at the Fermi level is 13.93 states/eV/cell. The calculation puts the distance to the lowest polymorph of the same formula at 0.198 eV/atom. The formation enthalpy at 0 K comes out at 1.82 eV per formula unit. The total moment is 0.0 μB/f.u.

Record 2
# Er4CoSb

A relaxed structure of Er4CoSb (PBE, Alexandria).

Cell lengths 8.025, 3.995, 18.809 Å; angles 90.00, 90.00, 90.00 degrees
Space group Pnma (No. 62)
Inequivalent atoms, fractional coordinates:
1 Er 0.003 0.250 0.067 (multiplicity 4)
2 Er 0.037 0.250 0.784 (multiplicity 4)
3 Er 0.143 0.250 0.550 (multiplicity 4)
4 Er 0.145 0.250 0.359 (multiplicity 4)
5 Co 0.246 0.250 0.950 (multiplicity 4)
6 Sb 0.236 0.750 0.689 (multiplicity 4)

## Properties
The value obtained for the density of states at the Fermi level is 26.93 states/eV/cell. The calculation puts the distance to the lowest polymorph of the same formula at 0.000 eV/atom. The total moment is 0.0 μB/f.u.

Record 3
# Pa3In

A relaxed structure of Pa3In (PBE, Alexandria).

Cell lengths 4.639, 4.639, 4.639 Å; angles 90.00, 90.00, 90.00 degrees
Space group Pm-3m (No. 221)
Inequivalent atoms, fractional coordinates:
1 Pa 0.000 0.000 0.500 (multiplicity 3)
2 In 0.500 0.500 0.500 (multiplicity 1)

## Properties
The value obtained for the density of states at the Fermi level is 9.63 states/eV/cell. The calculation puts the distance to the lowest polymorph of the same formula at 0.041 eV/atom. The formation enthalpy at 0 K comes out at 0.05 eV per formula unit. The total moment is 0.0 μB/f.u.